Computed, not measured: a geometry-optimized Rb2BaAlI6 structure at the PBE level of DFT.

Properties
Symmetry ... I4/mmm (139)
Volume ... 50.1 A^3/atom
Formation energy (no corrections) ... -1.14 eV/atom
Calculated total energy ... -28.3 eV per cell

a b c (Å): 8.9150 8.9150 8.9150
angles (deg): 119.97 119.97 90.06
Closest atoms and distances in Å follow each position.
Fractional coordinates of all 10 atoms:
Rb (0.2500, 0.7500, 0.5000)  12 I 4.46-4.47
Rb (0.7500, 0.2500, 0.5000)  12 I 4.46-4.47
Ba (0.0000, 0.0000, 0.0000)  6 I 3.37
Al (0.5000, 0.5000, 0.0000)  6 I 2.93
I (0.2677, 0.2677, 0.0000)  1 Al 2.93
I (0.2675, 0.2675, 0.5351)  1 Al 2.93
I (0.2675, 0.7325, 0.0000)  1 Al 2.93
I (0.7325, 0.2675, 0.0000)  1 Al 2.93
I (0.7323, 0.7323, 0.0000)  1 Al 2.93
I (0.7325, 0.7325, 0.4649)  1 Al 2.93



Computed, not measured: a geometry-optimized BaAlReI2 structure at the PBE level of DFT.

Properties
Symmetry ... P4/mmm (123)
Volume ... 59.3 A^3/atom
Formation energy (no corrections) ... 1.05 eV/atom
Calculated total energy ... -16.0 eV per cell

a b c (Å): 6.6234 6.6234 6.7588
angles (deg): 90.00 90.00 90.00
Closest atoms and distances in Å follow each position.
Fractional coordinates of all 5 atoms:
Ba (0.0000, 0.0000, 0.0000)  4 I 3.31, 2 Re 3.38
Al (0.5000, 0.5000, 0.5000)  4 Re 4.68, 8 I 4.73
Re (0.0000, 0.0000, 0.5000)  2 Ba 3.38
I (0.0000, 0.5000, 0.0000)  2 Ba 3.31
I (0.5000, 0.0000, 0.0000)  2 Ba 3.31



Computed, not measured: a geometry-optimized BaAlSb2I structure at the PBE level of DFT.

Properties
Symmetry ... P4/mmm (123)
Volume ... 56.1 A^3/atom
Formation energy (no corrections) ... 0.58 eV/atom
Calculated total energy ... -12.6 eV per cell
Distance to the lowest polymorph of the same formula ... 22.41 kcal/mol of atoms

a b c (Å): 6.5178 6.5178 6.5999
angles (deg): 90.00 90.00 90.00
Closest atoms and distances in Å follow each position.
Fractional coordinates of all 5 atoms:
Ba (0.0000, 0.0000, 0.0000)  4 Sb 3.26, 2 I 3.30
Al (0.5000, 0.5000, 0.5000)  4 I 4.61, 8 Sb 4.64
Sb (0.0000, 0.5000, 0.0000)  2 Ba 3.26
Sb (0.5000, 0.0000, 0.0000)  2 Ba 3.26
I (0.0000, 0.0000, 0.5000)  2 Ba 3.30



Computed, not measured: a geometry-optimized BaAlSb2I structure at the PBE level of DFT.

Properties
Symmetry ... P4/mmm (123)
Volume ... 35.4 A^3/atom
Formation energy (no corrections) ... -0.39 eV/atom
Calculated total energy ... -17.4 eV per cell
Distance to the lowest polymorph of the same formula ... 0.00 kcal/mol of atoms

a b c (Å): 5.2911 5.2911 6.3165
angles (deg): 90.00 90.00 90.00
Closest atoms and distances in Å follow each position.
Fractional coordinates of all 5 atoms:
Ba (0.0000, 0.0000, 0.0000)  4 I 3.74, 8 Sb 4.12
Al (0.5000, 0.5000, 0.5000)  4 Sb 2.65
Sb (0.0000, 0.5000, 0.5000)  2 Al 2.65
Sb (0.5000, 0.0000, 0.5000)  2 Al 2.65
I (0.5000, 0.5000, 0.0000)  2 Al 3.16



Computed, not measured: a geometry-optimized Ba2AlSnI structure at the PBE level of DFT.

Properties
Symmetry ... P4/mmm (123)
Volume ... 47.7 A^3/atom
Formation energy (no corrections) ... 0.02 eV/atom
Calculated total energy ... -13.0 eV per cell

a b c (Å): 6.5056 6.5056 5.6363
angles (deg): 90.00 90.00 90.00
Closest atoms and distances in Å follow each position.
Fractional coordinates of all 5 atoms:
Ba (0.0000, 0.5000, 0.0000)  2 Al 3.25
Ba (0.5000, 0.0000, 0.0000)  2 Al 3.25
Al (0.0000, 0.0000, 0.0000)  2 I 2.82
Sn (0.5000, 0.5000, 0.5000)  8 Ba 4.30, 4 I 4.60
I (0.0000, 0.0000, 0.5000)  2 Al 2.82



Computed, not measured: a geometry-optimized BaAl2WI structure at the PBE level of DFT.

Properties
Symmetry ... P4/mmm (123)
Volume ... 28.8 A^3/atom
Formation energy (no corrections) ... 0.23 eV/atom
Calculated total energy ... -22.8 eV per cell
Distance to the lowest polymorph of the same formula ... 0.00 kcal/mol of atoms

a b c (Å): 4.9929 4.9929 5.7831
angles (deg): 90.00 90.00 90.00
Closest atoms and distances in Å follow each position.
Fractional coordinates of all 5 atoms:
Ba (0.0000, 0.0000, 0.0000)  4 I 3.53, 8 Al 3.82
Al (0.0000, 0.5000, 0.5000)  2 W 2.50
Al (0.5000, 0.0000, 0.5000)  2 W 2.50
W (0.5000, 0.5000, 0.5000)  4 Al 2.50
I (0.5000, 0.5000, 0.0000)  2 W 2.89



Computed, not measured: a geometry-optimized BaAl2WI structure at the PBE level of DFT.

Properties
Symmetry ... P4/mmm (123)
Volume ... 31.2 A^3/atom
Formation energy (no corrections) ... 0.40 eV/atom
Calculated total energy ... -21.9 eV per cell
Distance to the lowest polymorph of the same formula ... 4.03 kcal/mol of atoms

a b c (Å): 5.0542 5.0542 6.1085
angles (deg): 90.00 90.00 90.00
Closest atoms and distances in Å follow each position.
Fractional coordinates of all 5 atoms:
Ba (0.0000, 0.0000, 0.0000)  2 W 3.05
Al (0.0000, 0.5000, 0.5000)  2 W 2.53
Al (0.5000, 0.0000, 0.5000)  2 W 2.53
W (0.0000, 0.0000, 0.5000)  4 Al 2.53
I (0.5000, 0.5000, 0.0000)  4 Ba 3.57, 8 Al 3.96



Computed, not measured: a geometry-optimized Ba2AlIn structure at the PBE level of DFT.

Properties
Symmetry ... I-42d (122)
Volume ... 40.8 A^3/atom
Calculated total energy ... -19.3 eV per cell
DFT formation energy ... 0.167 eV per atom
Distance to the lowest polymorph of the same formula ... 9.51 kcal/mol of atoms

a b c (Å): 7.6265 7.6265 7.6265
angles (deg): 103.09 103.09 123.17
Closest atoms and distances in Å follow each position.
Fractional coordinates of all 8 atoms:
Ba (0.1081, 0.6250, 0.9831)  2 Al 3.37, 2 In 3.59, 2 Ba 3.64
Ba (0.3750, 0.3581, 0.4831)  2 Al 3.37, 2 In 3.59, 2 Ba 3.64
Ba (0.6419, 0.1250, 0.0169)  2 Al 3.37, 2 In 3.59, 2 Ba 3.64
Ba (0.8750, 0.8919, 0.5169)  2 Al 3.37, 2 In 3.59, 2 Ba 3.64
Al (0.0000, 0.0000, 0.0000)  4 Ba 3.37, 2 In 3.63
Al (0.7500, 0.2500, 0.5000)  4 Ba 3.37, 2 In 3.63
In (0.2500, 0.7500, 0.5000)  4 Ba 3.59, 2 Al 3.63
In (0.5000, 0.5000, 0.0000)  4 Ba 3.59, 2 Al 3.63



| no. | spin magnetization (μB per formula unit) |
| --- | --- |
| 1 | 0.00 |
| 2 | 4.00 |
| 3 | 1.88 |
| 4 | 0.00 |
| 5 | 2.09 |
| 6 | 0.17 |
| 7 | 0.00 |
| 8 | 0.00 |